No. 1
CaNpSbO6, optimized geometry, DFT PBE; crystal system = trigonal; formation energy from raw total energies = -21.2 eV per formula unit; space-group type = No. 163
1.0
-0.561 0.527 5.512
4.789 -1.853 -2.145
3.371 9.346 -0.550
Ca Np Sb O
2 2 2 12
Direct
0.000 0.000 0.000
0.000 0.000 0.500
0.333 0.667 0.250
0.667 0.333 0.750
0.667 0.333 0.250
0.333 0.667 0.750
0.647 0.632 0.140
0.984 0.353 0.140
0.353 0.984 0.640
0.016 0.647 0.860
0.368 0.353 0.360
0.984 0.632 0.360
0.632 0.984 0.860
0.647 0.016 0.360
0.016 0.368 0.640
0.368 0.016 0.140
0.632 0.647 0.640
0.353 0.368 0.860

---

No. 2
FeCS2N, optimized geometry, DFT PBE; energy relative to the lowest polymorph listed for this composition = 703 meV per atom; crystal system = tetragonal; formation energy from raw total energies = 8.3 eV per formula unit; space-group type = No. 123
1.0
-4.392 1.080 0.235
-0.955 -3.223 -3.035
-0.414 -2.228 2.496
C S Fe N
1 2 1 1
Direct
0.500 0.500 0.500
0.000 0.500 0.000
0.500 0.000 0.000
0.000 0.000 0.000
0.000 0.000 0.500

---

No. 3
TaRhIN2, optimized geometry, DFT PBE; energy relative to the lowest polymorph listed for this composition = 0 meV per atom; crystal system = tetragonal; formation energy from raw total energies = 3.1 eV per formula unit; space-group type = No. 123
1.0
-0.456 -3.332 2.126
2.600 -1.865 -2.365
4.492 1.688 3.608
I N Rh Ta
1 2 1 1
Direct
0.000 0.000 0.500
0.000 0.500 0.000
0.500 0.000 0.000
0.500 0.500 0.500
0.000 0.000 0.000